Compound: KScRe4
Source: the Alexandria database
Functional: PBE
Structure: relaxed

abc: 7.6201 7.6201 7.6201
angles: 90.00 90.00 90.00
Space group F-43m (No. 216)
Unique sites:
K  0.0000  0.0000  0.0000
Sc  0.2500  0.2500  0.2500
Re  0.1249  0.1249  0.6249

Results
ΔE_f: 0.61 eV per atom
raw total energy: -0.32792 hartree per atom
total magnetization: 0.00 μB per formula unit
calculated density: 12.44 g/cm³